1.
The following is a DFT calculation (GGA-PBE) of Sm5Ho7 after structural relaxation.

Cell: 9.6205 5.7079 14.7065 Å, 90.00 103.48 90.00°
Last column: nearest neighbours and their distance in Å.
Space group C2/m (No. 12)
Inequivalent atoms, fractional coordinates:
Sm  0.0000  0.0000  0.0000  6 Ho 3.07-3.43
Sm  0.1156  0.5000  0.8000  3 Ho 3.25-3.26
Sm  0.1404  0.0000  0.4364  5 Ho 3.19-3.38
Ho  0.0000  0.5000  0.5000  6 Sm 3.37-3.38
Ho  0.0519  0.0000  0.2137  5 Sm 3.07-3.26
Ho  0.1860  0.5000  0.0814  6 Sm 3.43-3.72, 5 Ho 3.52-3.84
Ho  0.2367  0.0000  0.6723  7 Sm 3.37-3.75, 4 Ho 3.52-3.67

Results
* total DFT energy (no corrections): -4.448 eV/atom
* D(E_F): 1.72 states/eV/atom
* ΔH_f (0 K): 188 meV per atom
* excess energy over the best structure of this formula in the dataset: 184 meV/atom

2.
The following is a DFT calculation (GGA-PBE) of Sm2Ho7 after structural relaxation.

Cell: 9.6471 9.6471 3.5545 Å, 90.00 90.00 120.00°
Last column: nearest neighbours and their distance in Å.
Space group P-62m (No. 189)
Inequivalent atoms, fractional coordinates:
Sm  0.3333  0.6667  0.0000  9 Ho 3.36-3.58, 2 Sm 3.55
Ho  0.0000  0.0000  0.5000  11 Ho 3.43-3.55
Ho  0.0000  0.3043  0.0000  2 Sm 3.36, 10 Ho 3.43-3.73
Ho  0.0000  0.6437  0.5000  9 Ho 3.44-3.73, 4 Sm 3.58

Results
* total DFT energy (no corrections): -4.565 eV/atom
* D(E_F): 1.91 states/eV/atom
* ΔH_f (0 K): 44 meV per atom
* excess energy over the best structure of this formula in the dataset: 23 meV/atom

3.
The following is a DFT calculation (GGA-PBE) of Sm4Ho3 after structural relaxation.

Cell: 9.4966 5.9248 9.1274 Å, 90.00 116.91 90.00°
Last column: nearest neighbours and their distance in Å.
Space group C2/m (No. 12)
Inequivalent atoms, fractional coordinates:
Sm  0.1391  0.0000  0.4206  5 Ho 3.45-3.72, 5 Sm 3.54-3.68
Sm  0.2133  0.5000  0.1408  7 Ho 3.49-3.52, 3 Sm 3.59-3.69
Ho  0.0000  0.0000  0.0000  8 Sm 3.45-3.50, 2 Ho 3.74
Ho  0.0682  0.5000  0.7115  8 Sm 3.46-3.72, 2 Ho 3.47-3.74

Results
* total DFT energy (no corrections): -4.540 eV/atom
* D(E_F): 2.11 states/eV/atom
* ΔH_f (0 K): 119 meV per atom
* excess energy over the best structure of this formula in the dataset: 102 meV/atom

4.
The following is a DFT calculation (GGA-PBE) of SmHo after structural relaxation.

Cell: 3.5728 5.0549 7.1525 Å, 90.00 90.00 90.00°
Last column: nearest neighbours and their distance in Å.
Space group Pmmn (No. 59, origin choice 2)
Inequivalent atoms, fractional coordinates:
Sm  0.2500  0.2500  0.1267  6 Ho 3.55-3.61, 6 Sm 3.57-3.59
Ho  0.2500  0.2500  0.6226  6 Sm 3.55-3.61, 6 Ho 3.56-3.57

Results
* total DFT energy (no corrections): -4.633 eV/atom
* D(E_F): 1.18 states/eV/atom
* ΔH_f (0 K): 15 meV per atom
* excess energy over the best structure of this formula in the dataset: 0 meV/atom

5.
The following is a DFT calculation (GGA-PBE) of SmHo3 after structural relaxation.

Cell: 8.0062 8.0062 8.0062 Å, 90.00 90.00 90.00°
Last column: nearest neighbours and their distance in Å.
Space group Fm-3m (No. 225)
Inequivalent atoms, fractional coordinates:
Sm  0.0000  0.0000  0.0000  8 Ho 3.47
Ho  0.0000  0.0000  0.5000  8 Ho 3.47
Ho  0.2500  0.2500  0.2500  4 Ho 3.47, 4 Sm 3.47

Results
* total DFT energy (no corrections): -4.473 eV/atom
* D(E_F): 2.31 states/eV/atom
* ΔH_f (0 K): 140 meV per atom
* excess energy over the best structure of this formula in the dataset: 130 meV/atom

6.
The following is a DFT calculation (GGA-PBE) of Sm3Ho7 after structural relaxation.

Cell: 18.1146 5.0180 7.1238 Å, 90.00 101.32 90.00°
Last column: nearest neighbours and their distance in Å.
Space group C2/m (No. 12)
Inequivalent atoms, fractional coordinates:
Sm  0.0000  0.0000  0.0000  12 Ho 3.55-3.56
Sm  0.1992  0.0000  0.6002  10 Ho 3.54-3.58, 2 Sm 3.57
Ho  0.0000  0.0000  0.5000  4 Sm 3.54-3.56, 8 Ho 3.55-3.56
Ho  0.0995  0.5000  0.2998  7 Ho 3.55-3.57, 5 Sm 3.55-3.58
Ho  0.1002  0.5000  0.8008  4 Sm 3.54-3.55, 8 Ho 3.55-3.57
Ho  0.1997  0.0000  0.0998  7 Ho 3.55-3.56, 5 Sm 3.55-3.57

Results
* total DFT energy (no corrections): -4.603 eV/atom
* D(E_F): 1.28 states/eV/atom
* ΔH_f (0 K): 17 meV per atom
* excess energy over the best structure of this formula in the dataset: 0 meV/atom